ErNpRh4: relaxed, PBE.

Properties
total DFT energy (no corrections)	-8.1900	eV per atom
calculated formation energy	-0.372	eV/atom

a b c (Å): 3.395 5.037 7.279
angles (deg): 104.16 76.51 70.31
Last column: magnetic moment on the atom in μB.
Fractional coordinates of all 6 atoms:
Rh 0.864 0.462 0.810  -0.20
Rh 0.704 0.946 0.646  -0.22
Rh 0.296 0.054 0.354  -0.22
Rh 0.136 0.538 0.190  -0.20
Np 0.500 0.500 0.500  2.34
Er 0.000 0.000 0.000  0.06